[1]
Computed, not measured: crystalline ScTaMn3 at its relaxed geometry at the PBE-GGA level of DFT.

The structure in POSCAR format:
```
ScTaMn3
1.0
4.650 0.000 0.000
0.000 4.650 0.000
0.000 0.000 4.650
Sc Ta Mn
1 1 3
Cartesian
0.000 0.000 0.000
2.325 2.325 2.325
0.000 2.325 2.325
2.325 0.000 2.325
2.325 2.325 0.000
```

Formation energy   983 meV per atom
Total energy   -0.5994 Ry per atom
SG   Pm-3m, No. 221

[2]
Computed, not measured: crystalline Sr4Bi2H at its relaxed geometry at the PBE-GGA level of DFT.

The structure in POSCAR format:
```
Sr4Bi2H
1.0
7.213 0.000 0.000
0.000 7.416 0.000
-3.238 0.000 9.121
Sr Bi H
8 4 2
Cartesian
-0.796 0.015 2.374
-0.796 3.693 2.374
2.569 5.562 0.756
0.992 5.562 5.647
2.982 1.854 3.473
1.406 1.854 8.365
4.771 3.723 6.747
4.771 7.401 6.747
1.414 1.854 0.448
0.007 1.854 5.193
3.967 5.562 3.928
2.560 5.562 8.672
-0.934 5.562 7.330
4.908 1.854 1.791
```

Total energy   -0.2431 Ry per atom
SG   P2_1/m, No. 11

Distance to the lowest polymorph of the same formula? In order: 0.00, 0.00 eV per formula unit.